[1]
Entry from the Open Quantum Materials Database: crystalline Tm3In3AgIrPd at its relaxed geometry (GGA-PBE).

Structure (POSCAR):
```
Tm3In3AgIrPd
1.0
7.776 0.000 0.000
-3.888 6.734 0.000
0.000 0.000 3.741
Tm Ag Ir In Pd
3 1 1 3 1
direct
0.418 0.397 0.000
0.603 0.021 0.000
0.979 0.582 0.000
0.000 0.000 0.000
0.667 0.333 0.500
0.724 0.733 0.500
0.267 0.992 0.500
0.008 0.276 0.500
0.333 0.667 0.500
```

Values from the calculation:
For the uncorrected energy, the calculation gives -4.94 eV/atom. Its crystal system is hexagonal.

[2]
Entry from the Open Quantum Materials Database: crystalline TbPr2In3AgIr2 at its relaxed geometry (GGA-PBE).

Structure (POSCAR):
```
TbPr2In3AgIr2
1.0
4.062 0.000 0.000
0.000 6.644 3.879
0.000 -6.644 3.879
In Ir Pr Tb Ag
3 2 2 1 1
direct
0.500 0.737 0.737
0.500 0.262 0.002
0.500 0.002 0.262
0.500 0.335 0.659
0.500 0.659 0.335
0.000 0.000 0.584
0.000 0.584 0.000
0.000 0.416 0.416
0.000 0.004 0.004
```

Values from the calculation:
For the uncorrected energy, the calculation gives -5.34 eV/atom. Its crystal system is orthorhombic.

[3]
Entry from the Open Quantum Materials Database: crystalline Pr3Tl2InAgIr2 at its relaxed geometry (GGA-PBE).

Structure (POSCAR):
```
Pr3Tl2InAgIr2
1.0
4.090 0.000 0.000
0.000 6.820 3.911
0.000 -6.820 3.911
Tl In Ag Pr Ir
2 1 1 3 2
direct
0.500 0.738 0.002
0.500 0.002 0.738
0.500 0.262 0.262
0.000 0.007 0.007
0.000 0.002 0.417
0.000 0.585 0.585
0.000 0.417 0.002
0.500 0.331 0.656
0.500 0.656 0.331
```

Values from the calculation:
For the uncorrected energy, the calculation gives -5.16 eV/atom. Its crystal system is orthorhombic.

[4]
Entry from the Open Quantum Materials Database: crystalline Tm3In3AgIrPt at its relaxed geometry (GGA-PBE).

Structure (POSCAR):
```
Tm3In3AgIrPt
1.0
7.748 0.000 0.000
-3.874 6.710 0.000
0.000 0.000 3.746
In Pt Tm Ir Ag
3 1 3 1 1
direct
0.271 0.001 0.500
0.999 0.270 0.500
0.730 0.729 0.500
0.667 0.333 0.500
0.011 0.596 0.000
0.404 0.415 0.000
0.585 0.989 0.000
0.333 0.667 0.500
0.000 0.000 0.000
```

Values from the calculation:
For the uncorrected energy, the calculation gives -5.10 eV/atom. Its crystal system is hexagonal.

[5]
Entry from the Open Quantum Materials Database: crystalline InAg3IrS4 at its relaxed geometry (GGA-PBE).

Structure (POSCAR):
```
InAg3IrS4
1.0
-3.194 4.985 1.456
-0.110 -1.773 5.832
5.192 3.029 1.019
S Ag Ir In
4 3 1 1
direct
0.723 0.277 0.723
0.277 0.277 0.277
0.723 0.723 0.277
0.277 0.723 0.723
0.500 0.000 0.500
0.000 0.500 0.500
0.500 0.500 0.000
0.500 0.500 0.500
0.000 0.000 0.000
```

Values from the calculation:
For the uncorrected energy, the calculation gives -3.99 eV/atom. Its crystal system is cubic.

[6]
Entry from the Open Quantum Materials Database: crystalline InAgIrSe2S at its relaxed geometry (GGA-PBE).

Structure (POSCAR):
```
InAgIrSe2S
1.0
6.654 4.056 2.289
-7.369 -3.147 1.327
3.934 -8.033 2.795
Ir Se S Ag In
2 4 2 2 2
direct
0.000 0.000 0.500
0.000 0.000 0.000
0.603 0.397 0.531
0.603 0.397 0.969
0.397 0.603 0.469
0.397 0.603 0.031
0.045 0.955 0.250
0.955 0.045 0.750
0.297 0.703 0.250
0.703 0.297 0.750
0.340 0.660 0.750
0.660 0.340 0.250
```

Values from the calculation:
For the uncorrected energy, the calculation gives -4.47 eV/atom. Its crystal system is orthorhombic.

[7]
Entry from the Open Quantum Materials Database: crystalline InAgIrSeS2 at its relaxed geometry (GGA-PBE).

Structure (POSCAR):
```
InAgIrSeS2
1.0
-6.135 2.626 3.899
3.646 -5.230 -4.370
3.163 -4.467 7.985
Ir S In Ag Se
2 4 2 2 2
direct
0.500 0.500 0.000
0.500 0.500 0.500
0.104 0.896 0.519
0.896 0.104 0.481
0.896 0.104 0.019
0.104 0.896 0.981
0.180 0.820 0.250
0.820 0.180 0.750
0.175 0.825 0.750
0.825 0.175 0.250
0.458 0.542 0.750
0.542 0.458 0.250
```

Values from the calculation:
For the uncorrected energy, the calculation gives -4.57 eV/atom. Its crystal system is orthorhombic.

[8]
Entry from the Open Quantum Materials Database: crystalline InAgTeIrSe2 at its relaxed geometry (GGA-PBE).

Structure (POSCAR):
```
InAgTeIrSe2
1.0
2.448 7.133 -0.699
-5.054 -5.126 2.355
5.231 -0.883 9.306
Se Ir In Te Ag
4 2 2 2 2
direct
0.116 0.884 0.992
0.884 0.116 0.492
0.116 0.884 0.508
0.884 0.116 0.008
0.500 0.500 0.000
0.500 0.500 0.500
0.191 0.809 0.250
0.809 0.191 0.750
0.477 0.523 0.750
0.523 0.477 0.250
0.840 0.160 0.250
0.160 0.840 0.750
```

Values from the calculation:
For the uncorrected energy, the calculation gives -4.24 eV/atom. Its crystal system is orthorhombic.

[9]
Entry from the Open Quantum Materials Database: crystalline Sm3In3AgIr2 at its relaxed geometry (GGA-PBE).

Structure (POSCAR):
```
Sm3In3AgIr2
1.0
7.668 0.000 0.000
-3.834 6.641 0.000
0.000 0.000 4.046
Sm Ir In Ag
3 2 3 1
direct
0.585 0.585 0.500
0.415 0.000 0.500
0.000 0.415 0.500
0.667 0.333 0.000
0.333 0.667 0.000
0.263 0.263 0.000
0.737 0.000 0.000
0.000 0.737 0.000
0.000 0.000 0.500
```

Values from the calculation:
For the uncorrected energy, the calculation gives -5.36 eV/atom. Its crystal system is hexagonal.

[10]
Entry from the Open Quantum Materials Database: crystalline Tb3In3AgIr2 at its relaxed geometry (GGA-PBE).

Structure (POSCAR):
```
Tb3In3AgIr2
1.0
7.637 0.000 0.000
-3.818 6.614 0.000
0.000 0.000 3.944
Ag Tb In Ir
1 3 3 2
direct
0.000 0.000 0.000
0.415 0.000 0.000
0.000 0.415 0.000
0.585 0.585 0.000
0.735 0.000 0.500
0.000 0.735 0.500
0.265 0.265 0.500
0.333 0.667 0.500
0.667 0.333 0.500
```

Values from the calculation:
For the uncorrected energy, the calculation gives -5.35 eV/atom. Its crystal system is hexagonal.

[11]
Entry from the Open Quantum Materials Database: crystalline TbTm2In3AgIr2 at its relaxed geometry (GGA-PBE).

Structure (POSCAR):
```
TbTm2In3AgIr2
1.0
-2.530 2.094 1.908
-5.512 -2.131 -4.970
1.344 -4.170 6.359
Ir In Ag Tm Tb
2 3 1 2 1
direct
0.500 0.331 0.667
0.500 0.667 0.331
0.500 0.001 0.731
0.500 0.731 0.001
0.500 0.268 0.268
0.000 0.001 0.001
0.000 0.000 0.413
0.000 0.413 0.000
0.000 0.588 0.588
```

Values from the calculation:
For the uncorrected energy, the calculation gives -5.31 eV/atom. Its crystal system is orthorhombic.

[12]
Entry from the Open Quantum Materials Database: crystalline Tb2YIn3AgIr2 at its relaxed geometry (GGA-PBE).

Structure (POSCAR):
```
Tb2YIn3AgIr2
1.0
-2.255 -2.532 1.843
5.258 -5.532 -1.166
0.318 4.353 6.368
Ir Tb Ag In Y
2 2 1 3 1
direct
0.500 0.667 0.333
0.500 0.333 0.667
0.000 0.413 0.000
0.000 0.000 0.413
0.000 0.000 0.000
0.500 0.268 0.268
0.500 0.000 0.732
0.500 0.732 0.000
0.000 0.587 0.587
```

Values from the calculation:
For the uncorrected energy, the calculation gives -5.55 eV/atom. Its crystal system is orthorhombic.